(1)
! GGA-PBE Rb3Ce2RhSe6, relaxed; values from VASP
! * raw formation energy: -1.2545 eV per atom
&SYSTEM
  ibrav = 0, nat = 12, ntyp = 4
/
ATOMIC_SPECIES
Ce 140.12 Ce.upf
Rb 85.47 Rb.upf
Se 78.96 Se.upf
Rh 102.91 Rh.upf
CELL_PARAMETERS angstrom
7.2573 -0.0085 -0.0075
-3.6342 6.2818 -0.0075
-1.2164 -2.1062 7.9955
ATOMIC_POSITIONS crystal
Ce 0.6657 0.3343 0.0000
Rb 0.5000 0.5000 0.5000
Se 0.9377 0.6318 0.8117
Se 0.6318 0.9377 0.8117
Se 0.7575 0.7575 0.1916
Rh 0.0000 0.0000 0.0000
Rb 0.8290 0.1710 0.5000
Se 0.3682 0.0623 0.1883
Se 0.2425 0.2425 0.8084
Ce 0.3343 0.6657 0.0000
Rb 0.1710 0.8290 0.5000
Se 0.0623 0.3682 0.1883

(2)
! GGA-PBE NaNb6Se12, relaxed; values from VASP
! * raw formation energy: -0.4805 eV per atom
&SYSTEM
  ibrav = 0, nat = 19, ntyp = 3
/
ATOMIC_SPECIES
Se 78.96 Se.upf
Nb 92.91 Nb.upf
Na 22.99 Na.upf
CELL_PARAMETERS angstrom
7.8347 -0.1900 -0.2676
-2.1262 7.5431 -0.2676
-2.1262 -2.7387 7.0334
ATOMIC_POSITIONS crystal
Se 0.3915 0.3915 0.1259
Se 0.6085 0.8741 0.6085
Se 0.6085 0.6085 0.8741
Nb 0.2939 0.2939 0.7008
Se 0.1200 0.5000 0.8800
Nb 0.2992 0.7061 0.7061
Se 0.3915 0.1259 0.3915
Se 0.5000 0.8800 0.1200
Se 0.8800 0.1200 0.5000
Na 0.0000 0.0000 0.0000
Nb 0.7008 0.2939 0.2939
Nb 0.7061 0.7061 0.2992
Se 0.1259 0.3915 0.3915
Nb 0.7061 0.2992 0.7061
Se 0.5000 0.1200 0.8800
Se 0.1200 0.8800 0.5000
Se 0.8800 0.5000 0.1200
Nb 0.2939 0.7008 0.2939
Se 0.8741 0.6085 0.6085

(3)
! GGA-PBE Re2SnCl, relaxed; values from VASP
! * relative energy among the computed polymorphs: 0 meV per atom
! * raw formation energy: 1.2179 eV per atom
&SYSTEM
  ibrav = 0, nat = 4, ntyp = 3
/
ATOMIC_SPECIES
Sn 118.71 Sn.upf
Re 186.21 Re.upf
Cl 35.45 Cl.upf
CELL_PARAMETERS angstrom
-0.2743 -0.8248 4.4668
-4.0576 -0.0501 2.0596
-1.7496 -3.9296 1.4849
ATOMIC_POSITIONS crystal
Sn 0.5000 0.5000 0.5000
Re 0.7500 0.7500 0.7500
Cl 0.0000 0.0000 0.0000
Re 0.2500 0.2500 0.2500

(4)
! GGA-PBE YCoAg2, relaxed; values from VASP
! * ΔE_f: 68 meV per atom
&SYSTEM
  ibrav = 0, nat = 4, ntyp = 3
/
ATOMIC_SPECIES
Ag 107.87 Ag.upf
Co 58.93 Co.upf
Y 88.91 Y.upf
CELL_PARAMETERS angstrom
-4.1720 -0.7283 -2.1282
-2.4657 -3.9453 0.9057
-4.0140 0.2376 2.5094
ATOMIC_POSITIONS crystal
Ag 0.2500 0.2500 0.2500
Ag 0.0000 0.0000 0.0000
Co 0.5000 0.5000 0.5000
Y 0.7500 0.7500 0.7500

(5)
! GGA-PBE CaSm3Pa2N6, relaxed; values from VASP
! * raw formation energy: -1.5287 eV per atom
&SYSTEM
  ibrav = 0, nat = 12, ntyp = 4
/
ATOMIC_SPECIES
Pa 231.04 Pa.upf
N 14.01 N.upf
Sm 150.36 Sm.upf
Ca 40.08 Ca.upf
CELL_PARAMETERS angstrom
3.5619 0.0000 0.0000
0.0000 7.0960 0.2269
-1.7810 -2.0736 7.4138
ATOMIC_POSITIONS crystal
Pa 0.1640 0.3278 0.3279
N 0.3329 0.8950 0.6658
Sm 0.5000 0.5000 0.0000
N 0.0139 0.2620 0.0278
N 0.3294 0.4318 0.6588
Sm 0.1654 0.8352 0.3307
Pa 0.8360 0.6722 0.6721
N 0.6706 0.5682 0.3412
N 0.9861 0.7380 0.9722
N 0.6671 0.1050 0.3342
Ca 0.5000 0.0000 0.0000
Sm 0.8346 0.1648 0.6693